Computed, not measured: a relaxed HfZn2Re crystal at the PBE-GGA level of DFT.

Output
- total magnetic moment (μB/f.u.) = 0.0
- ΔH_f (0 K) (eV/atom) = 0.0931
- crystal system = cubic

a b c (Å): 4.4671 4.4671 4.4671
angles (deg): 60.00 60.00 60.00
Positions (direct):
Re 0.5000 0.5000 0.5000
Zn 0.2500 0.2500 0.2500
Zn 0.7500 0.7500 0.7500
Hf 0.0000 0.0000 0.0000

***

Computed, not measured: a relaxed Ca5Pt3 crystal at the PBE-GGA level of DFT.

Output
- total magnetic moment (μB/f.u.) = 0.0
- ΔH_f (0 K) (eV/atom) = -0.8169
- crystal system = monoclinic

a b c (Å): 8.7113 8.7113 9.0107
angles (deg): 99.54 99.54 138.20
Positions (direct):
Ca 0.0537 0.7647 0.8720
Ca 0.2681 0.1437 0.2967
Ca 0.2570 0.7570 0.5096
Ca 0.2646 0.5537 0.8720
Ca 0.3571 0.2327 0.7042
Ca 0.6437 0.7681 0.2967
Ca 0.7362 0.4471 0.1289
Ca 0.7439 0.2439 0.4912
Ca 0.7327 0.8571 0.7042
Ca 0.9471 0.2362 0.1289
Pt 0.1548 0.3460 0.5004
Pt 0.2509 0.2499 0.0004
Pt 0.2817 0.7817 0.1870
Pt 0.7191 0.2191 0.8138
Pt 0.7499 0.7509 0.0004
Pt 0.8460 0.6548 0.5004